This record from Alexandria describes crystalline Hf2Ta2P at its relaxed geometry. The functional is GGA-PBE.

a b c (Å): 6.5401 6.5401 4.6928
angles (deg): 90.00 90.00 90.00
Sites, in units of the cell vectors:
1 Ta 0.6527 0.8473 0.5000
2 Ta 0.8473 0.3473 0.5000
3 Ta 0.3473 0.1527 0.5000
4 Ta 0.1527 0.6527 0.5000
5 Hf 0.8445 0.6555 0.0000
6 Hf 0.3445 0.8445 0.0000
7 Hf 0.1555 0.3445 0.0000
8 Hf 0.6555 0.1555 0.0000
9 P 0.5000 0.5000 0.0000
10 P 0.0000 0.0000 0.0000

Computed properties:
**Energy of formation from the pure elements**: 0.221 eV/atom
**Symmetry**: P4/mbm, No. 127
**Magnetization**: 0.00 μB per atom
**Calculated total energy**: -9.5838 eV per atom
**Calculated volume**: 20.072 A^3/atom
**Theoretical density**: 12.41 g/cm3

=====

This record from Alexandria describes crystalline Mg2ReBiW at its relaxed geometry. The functional is GGA-PBE.

a b c (Å): 5.1510 5.1510 5.1182
angles (deg): 90.00 90.00 90.00
Sites, in units of the cell vectors:
1 Bi 0.0000 0.0000 0.0000
2 Mg 0.5000 0.0000 0.0000
3 Mg 0.0000 0.5000 0.0000
4 W 0.5000 0.5000 0.5000
5 Re 0.0000 0.0000 0.5000

Computed properties:
**Energy of formation from the pure elements**: 2.258 eV/atom
**Symmetry**: P4/mmm, No. 123
**Magnetization**: 0.40 μB per atom
**Calculated total energy**: -4.2359 eV per atom
**Calculated volume**: 27.160 A^3/atom
**Theoretical density**: 7.67 g/cm3

=====

This record from Alexandria describes crystalline Tl2Hg3Pb4 at its relaxed geometry. The functional is GGA-PBE.

a b c (Å): 3.5583 3.5583 24.4685
angles (deg): 90.00 90.00 120.00
Sites, in units of the cell vectors:
1 Hg 0.0000 0.0000 0.3243
2 Hg 0.6667 0.3333 0.6533
3 Hg 0.0000 0.0000 0.9819
4 Pb 0.6667 0.3333 0.4301
5 Pb 0.0000 0.0000 0.7596
6 Pb 0.6667 0.3333 0.2187
7 Pb 0.0000 0.0000 0.5476
8 Tl 0.6667 0.3333 0.8770
9 Tl 0.6667 0.3333 0.0846

Computed properties:
**Energy of formation from the pure elements**: 0.024 eV/atom
**Symmetry**: P3m1, No. 156
**Magnetization**: 0.00 μB per atom
**Calculated total energy**: -2.2506 eV per atom
**Calculated volume**: 29.812 A^3/atom
**Theoretical density**: 11.38 g/cm3

=====

This record from Alexandria describes crystalline OsF6 at its relaxed geometry. The functional is GGA-PBE.

a b c (Å): 5.6270 5.6270 5.6270
angles (deg): 109.47 109.47 109.47
Sites, in units of the cell vectors:
1 F 0.7123 0.0000 0.7123
2 F 0.2877 0.2877 0.0000
3 F 0.0000 0.7123 0.7123
4 F 0.2877 0.0000 0.2877
5 F 0.7123 0.7123 0.0000
6 F 0.0000 0.2877 0.2877
7 Os 0.0000 0.0000 0.0000

Computed properties:
**Symmetry**: Im-3m, No. 229
**Magnetization**: 0.29 μB per atom
**Uncorrected formation energy**: -11.95 eV/f.u.
**Calculated total energy**: -4.9161 eV per atom
**Calculated volume**: 19.593 A^3/atom
**Theoretical density**: 3.68 g/cm3

=====

This record from Alexandria describes crystalline Ta2VPd2 at its relaxed geometry. The functional is GGA-PBE.

a b c (Å): 7.8346 7.8346 2.7691
angles (deg): 90.00 90.00 90.00
Sites, in units of the cell vectors:
1 Pd 0.6227 0.1227 0.0000
2 Pd 0.3773 0.8773 0.0000
3 Pd 0.8773 0.6227 0.0000
4 Pd 0.1227 0.3773 0.0000
5 V 0.0000 0.0000 0.0000
6 V 0.5000 0.5000 0.0000
7 Ta 0.8245 0.3245 0.5000
8 Ta 0.3245 0.1755 0.5000
9 Ta 0.1755 0.6755 0.5000
10 Ta 0.6755 0.8245 0.5000

Computed properties:
**Energy of formation from the pure elements**: 0.092 eV/atom
**Symmetry**: P4/mbm, No. 127
**Magnetization**: 0.00 μB per atom
**Calculated total energy**: -8.5502 eV per atom
**Calculated volume**: 16.997 A^3/atom
**Theoretical density**: 12.23 g/cm3

=====

This record from Alexandria describes crystalline As2Pd2Ru at its relaxed geometry. The functional is GGA-PBE.

a b c (Å): 3.7587 3.7587 6.6156
angles (deg): 73.50 73.50 90.00
Sites, in units of the cell vectors:
1 Pd 0.2500 0.7500 0.5000
2 Pd 0.7500 0.2500 0.5000
3 As 0.6049 0.6049 0.7902
4 As 0.3951 0.3951 0.2098
5 Ru 0.0000 0.0000 0.0000

Computed properties:
**Energy of formation from the pure elements**: 0.273 eV/atom
**Symmetry**: I4/mmm, No. 139
**Magnetization**: 0.30 μB per atom
**Calculated total energy**: -5.5196 eV per atom
**Calculated volume**: 17.118 A^3/atom
**Theoretical density**: 9.00 g/cm3

=====

This record from Alexandria describes crystalline RuSe2N2 at its relaxed geometry. The functional is GGA-PBE.

a b c (Å): 3.6571 3.6571 6.9746
angles (deg): 90.00 90.00 90.00
Sites, in units of the cell vectors:
1 Se 0.0000 0.0000 0.5000
2 Se 0.0000 0.0000 0.0000
3 N 0.0000 0.5000 0.0000
4 N 0.5000 0.0000 0.0000
5 Ru 0.5000 0.5000 0.5000

Computed properties:
**Symmetry**: P4/mmm, No. 123
**Magnetization**: 0.44 μB per atom
**Uncorrected formation energy**: 9.06 eV/f.u.
**Calculated total energy**: -4.7664 eV per atom
**Calculated volume**: 18.656 A^3/atom
**Theoretical density**: 5.11 g/cm3

=====

This record from Alexandria describes crystalline SrDySi3 at its relaxed geometry. The functional is GGA-PBE.

a b c (Å): 3.9409 4.5035 12.6785
angles (deg): 100.23 90.00 90.00
Sites, in units of the cell vectors:
1 Dy 0.7500 0.2033 0.4066
2 Dy 0.2500 0.7967 0.5934
3 Si 0.7500 0.6232 0.2464
4 Si 0.7500 0.3194 0.6387
5 Si 0.2500 0.3768 0.7536
6 Si 0.2500 0.6806 0.3613
7 Si 0.2500 0.4744 0.9488
8 Si 0.7500 0.5256 0.0512
9 Sr 0.2500 0.0731 0.1463
10 Sr 0.7500 0.9269 0.8537

Computed properties:
**Symmetry**: Cmcm, No. 63
**Magnetization**: 0.00 μB per atom
**Uncorrected formation energy**: -2.62 eV/f.u.
**Calculated total energy**: -5.0356 eV per atom
**Calculated volume**: 22.144 A^3/atom
**Theoretical density**: 5.01 g/cm3

=====

> Which value of theoretical density does entry 2 give?

7.67 g/cm3